Entry 1:
LiTbSm2Te4 after structural relaxation, computed with PBE.

## Properties
M_tot in μB/f.u.: 0.00
ΔE_f (raw) in meV/atom: -1349

CIF file:
```
data_LiTbSm2Te4
_chemical_formula_sum 'Li1 Tb1 Sm2 Te4'
_cell_length_a 7.597
_cell_length_b 4.371
_cell_length_c 7.618
_cell_angle_alpha 90.00
_cell_angle_beta 109.21
_cell_angle_gamma 90.00
_space_group_name_H-M_alt 'P 1 2/m 1'
_space_group_IT_number 10
loop_
_space_group_symop_operation_xyz
'x,y,z'
'-x,-y,-z'
'-x,y,-z'
'x,-y,z'
loop_
_atom_site_label
_atom_site_type_symbol
_atom_site_fract_x
_atom_site_fract_y
_atom_site_fract_z
Li1 Li 0.000 0.000 0.000
Tb1 Tb 0.500 0.500 0.000
Sm1 Sm 0.000 0.500 0.500
Sm2 Sm 0.500 0.000 0.500
Te1 Te 0.240 0.500 0.237
Te2 Te 0.247 0.000 0.761
```

=====

Entry 2:
HfMg2PtI after structural relaxation, computed with PBE.

## Properties
M_tot in μB/f.u.: 0.00
ΔE_f (raw) in meV/atom: -228

CIF file:
```
data_HfMg2PtI
_chemical_formula_sum 'Hf1 Mg2 Pt1 I1'
_cell_length_a 5.121
_cell_length_b 5.121
_cell_length_c 5.086
_cell_angle_alpha 90.00
_cell_angle_beta 90.00
_cell_angle_gamma 90.00
_space_group_name_H-M_alt 'P 4/m m m'
_space_group_IT_number 123
_space_group_name_Hall '-P 4 2'
loop_
_atom_site_label
_atom_site_type_symbol
_atom_site_fract_x
_atom_site_fract_y
_atom_site_fract_z
Hf1 Hf 0.000 0.000 0.000
Mg1 Mg 0.000 0.500 0.500
Pt1 Pt 0.000 0.000 0.500
I1 I 0.500 0.500 0.000
```